VASP calculation (SCAN) on a PBEsol-optimized structure of LaRuPt2.

Calculated values
Crystal system ... cubic
Total magnetic moment ... 2.01 Bohr magnetons per cell
Formation enthalpy at 0 K ... -0.60 eV/f.u.

abc: 4.6619 4.6619 4.6619
angles: 60.00 60.00 60.00
Fractional positions:
La  0.5000  0.5000  0.5000
Pt  0.0000  0.0000  0.0000
Pt  0.7500  0.7500  0.7500
Ru  0.2500  0.2500  0.2500

***

VASP calculation (SCAN) on a PBEsol-optimized structure of ScSiNO2.

Calculated values
Crystal system ... tetragonal
Total magnetic moment ... 0.00 Bohr magnetons per cell
Formation energy without anion corrections ... -2345.7 meV/atom

abc: 3.4670 3.4670 3.6888
angles: 90.00 90.00 90.00
Fractional positions:
Sc  0.5000  0.5000  0.5000
Si  0.0000  0.0000  0.0000
O  0.0000  0.5000  0.0000
O  0.5000  0.0000  0.0000
N  0.0000  0.0000  0.5000

***

VASP calculation (SCAN) on a PBEsol-optimized structure of CdReP.

Calculated values
Crystal system ... tetragonal
Total magnetic moment ... 0.00 Bohr magnetons per cell
Formation enthalpy at 0 K ... 0.30 eV/f.u.
Polymorph energy (0 for the lowest one) ... 0.0 meV/atom

abc: 3.0927 3.0927 5.4034
angles: 106.63 106.63 90.00
Fractional positions:
Cd  0.0011  0.0011  0.0023
P  0.6998  0.6998  0.3995
Re  0.2991  0.2991  0.5982

***

VASP calculation (SCAN) on a PBEsol-optimized structure of Ir2C.

Calculated values
Crystal system ... orthorhombic
Total magnetic moment ... 0.00 Bohr magnetons per cell
Formation enthalpy at 0 K ... 2.71 eV/f.u.
Polymorph energy (0 for the lowest one) ... 0.0 meV/atom

abc: 2.9729 4.9172 5.3238
angles: 90.00 106.21 90.00
Fractional positions:
C  0.0696  0.2500  0.1391
C  0.9304  0.7500  0.8609
Ir  0.4354  0.2500  0.8707
Ir  0.5646  0.7500  0.1293
Ir  0.6962  0.2500  0.3925
Ir  0.3038  0.7500  0.6075

***

VASP calculation (SCAN) on a PBEsol-optimized structure of LaMoBr2.

Calculated values
Crystal system ... trigonal
Total magnetic moment ... 0.00 Bohr magnetons per cell
Polymorph energy (0 for the lowest one) ... 0.0 meV/atom
Formation energy without anion corrections ... -303.0 meV/atom

abc: 3.5409 3.5409 9.7172
angles: 79.50 79.50 60.00
Fractional positions:
Mo  0.2595  0.2595  0.2215
Br  0.9795  0.9795  0.0614
Br  0.7583  0.7583  0.7251
La  0.5026  0.5026  0.4921

***

VASP calculation (SCAN) on a PBEsol-optimized structure of CoPtCl2.

Calculated values
Crystal system ... tetragonal
Total magnetic moment ... 2.30 Bohr magnetons per cell
Formation energy without anion corrections ... 38.6 meV/atom

abc: 2.9161 2.9161 7.9250
angles: 90.00 90.00 90.00
Fractional positions:
Co  0.0000  0.0000  0.5104
Pt  0.5000  0.5000  0.7158
Cl  0.0000  0.0000  0.9413
Cl  0.5000  0.5000  0.3325